Compound: NaCrRh3
Source: the Alexandria database
Functional: PBE
Structure: relaxed

Cell lengths 4.390, 4.390, 4.390 Å; angles 90.00, 90.00, 90.00 degrees
Atoms (fractional coordinates):
Na (0.000, 0.000, 0.000)
Cr (0.500, 0.500, 0.500)
Rh (0.000, 0.000, 0.500)
Rh (0.000, 0.500, 0.000)
Rh (0.500, 0.000, 0.000)

Results
The space group is Pm-3m (221). As for the density: 7.533 g/cm3. For the formation energy, the calculation gives 1.99 eV per atom. As for the offset from the most stable computed form: 1354 meV per atom.



Compound: NaCrRh2
Source: the Alexandria database
Functional: PBE
Structure: relaxed

Cell lengths 5.644, 5.644, 5.644 Å; angles 103.85, 103.85, 121.41 degrees
Atoms (fractional coordinates):
Na (0.000, 0.000, 0.000)
Na (0.750, 0.250, 0.500)
Cr (0.250, 0.750, 0.500)
Cr (0.500, 0.500, 0.000)
Rh (0.180, 0.625, 0.055)
Rh (0.375, 0.430, 0.555)
Rh (0.570, 0.125, 0.945)
Rh (0.875, 0.820, 0.445)

Results
The space group is I-42d (122). As for the density: 6.969 g/cm3. For the formation energy, the calculation gives 0.51 eV per atom.



Compound: Na3CrRh2S6
Source: the Alexandria database
Functional: PBE
Structure: relaxed

Cell lengths 6.261, 6.261, 6.703 Å; angles 98.95, 98.95, 120.00 degrees
Atoms (fractional coordinates):
Na (0.000, 0.000, 0.000)
Na (0.332, 0.668, 0.000)
Na (0.668, 0.332, 0.000)
Cr (0.500, 0.500, 0.500)
Rh (0.167, 0.833, 0.500)
Rh (0.833, 0.167, 0.500)
S (0.101, 0.436, 0.307)
S (0.229, 0.229, 0.693)
S (0.436, 0.101, 0.307)
S (0.564, 0.899, 0.693)
S (0.771, 0.771, 0.307)
S (0.899, 0.564, 0.693)

Results
The space group is C2/m (12). The calculation puts the formation energy from raw total energies at -0.803 eV per atom. As for the density: 3.986 g/cm3.